Computed, not measured: an optimized crystal structure of Li15Mn2O12 at the PBE+U level of DFT.

Lattice parameters (Å, degrees): 5.3685 5.9329 8.0456 85.79 90.16 89.55
Last column: magnetic moment on the atom in μB.
Sites, in units of the cell vectors:
Li 0.0089 0.3765 0.6126  0.01
Li 0.8830 0.7571 0.6336  0.00
Li 0.7770 0.3007 0.8748  0.00
Li 0.7992 0.0528 0.3079  0.00
Li 0.7000 0.4357 0.1935  0.00
Li 0.6669 0.1108 0.5936  0.00
Li 0.6354 0.7710 0.8814  0.00
Li 0.4782 0.8017 0.1732  0.01
Li 0.3733 0.2085 0.1101  0.00
Li 0.3280 0.9278 0.4527  0.00
Li 0.3106 0.5424 0.7888  0.00
Li 0.2355 0.0613 0.7634  0.00
Li 0.1424 0.5510 0.0590  0.00
Li 0.1458 0.2728 0.3556  0.00
Li 0.0057 0.6842 0.3357  0.01
Mn 0.5038 0.5078 0.4905  3.19
Mn 0.9987 0.9826 0.0168  3.14
O 0.8588 0.9984 0.7850  -0.12
O 0.8335 0.7054 0.0864  -0.14
O 0.8028 0.3401 0.4194  -0.08
O 0.7104 0.1470 0.0869  -0.17
O 0.6595 0.8034 0.4325  -0.12
O 0.6575 0.5162 0.7122  -0.12
O 0.3585 0.4962 0.2601  -0.09
O 0.3355 0.2175 0.5580  -0.09
O 0.2863 0.8146 0.9384  -0.15
O 0.2018 0.6549 0.5632  -0.10
O 0.1479 0.2824 0.9315  -0.14
O 0.1528 0.9961 0.2366  -0.07

Values from the calculation:
Space-group type   P1
Total energy   -153.56 eV for the cell shown
DOS(E_F)   0.47 states/eV per atom